Record 1
First-principles (PBE-GGA) data for a relaxed MnCo2Rh2 crystal, as listed in Alexandria via LeMat-Bulk.

Cell: 3.606 3.606 10.752 Å, 90.00 90.00 90.00°
Space group I4/mmm (No. 139)
One atom of each set of equivalent atoms:
1 Mn 0.000 0.000 0.000 (multiplicity 2)
2 Co 0.000 0.000 0.404 (multiplicity 4)
3 Rh 0.000 0.500 0.250 (multiplicity 4)

Computed properties:
Distance to the lowest polymorph of the same formula in meV/atom: 521
Crystal system: tetragonal
Formation enthalpy at 0 K in meV per atom: 742

---

Record 2
First-principles (PBE-GGA) data for a relaxed MnCoRh2 crystal, as listed in Alexandria via LeMat-Bulk.

Cell: 2.717 3.580 5.377 Å, 90.00 90.00 90.00°
Space group Pmmm (No. 47)
One atom of each set of equivalent atoms:
1 Mn 0.000 0.000 0.000 (multiplicity 1)
2 Co 0.000 0.000 0.500 (multiplicity 1)
3 Rh 0.500 0.500 0.253 (multiplicity 2)

Computed properties:
Crystal system: orthorhombic
Formation enthalpy at 0 K in meV per atom: 5

---

Record 3
First-principles (PBE-GGA) data for a relaxed MnCo2Rh2 crystal, as listed in Alexandria via LeMat-Bulk.

Cell: 6.132 6.132 3.491 Å, 90.00 90.00 90.00°
Space group P4/mbm (No. 127)
One atom of each set of equivalent atoms:
1 Mn 0.000 0.000 0.000 (multiplicity 2)
2 Co 0.131 0.369 0.000 (multiplicity 4)
3 Rh 0.165 0.665 0.500 (multiplicity 4)

Computed properties:
Distance to the lowest polymorph of the same formula in meV/atom: 0
Crystal system: tetragonal
Formation enthalpy at 0 K in meV per atom: 220

---

Record 4
First-principles (PBE-GGA) data for a relaxed Mn2CoRh crystal, as listed in Alexandria via LeMat-Bulk.

Cell: 8.447 2.578 4.389 Å, 90.00 100.19 90.00°
Space group C2/m (No. 12)
One atom of each set of equivalent atoms:
1 Mn 0.247 0.000 0.234 (multiplicity 4)
2 Co 0.000 0.500 0.000 (multiplicity 2)
3 Rh 0.000 0.000 0.500 (multiplicity 2)

Computed properties:
Distance to the lowest polymorph of the same formula in meV/atom: 169
Crystal system: monoclinic
Formation enthalpy at 0 K in meV per atom: 96

---

Record 5
First-principles (PBE-GGA) data for a relaxed MnCoRh2 crystal, as listed in Alexandria via LeMat-Bulk.

Cell: 6.038 6.038 6.038 Å, 90.00 90.00 90.00°
Space group F-43m (No. 216)
One atom of each set of equivalent atoms:
1 Mn 0.000 0.000 0.000 (multiplicity 4)
2 Co 0.250 0.250 0.750 (multiplicity 4)
3 Rh 0.000 0.000 0.500 (multiplicity 4)
4 Rh 0.250 0.250 0.250 (multiplicity 4)

Computed properties:
Crystal system: cubic
Formation enthalpy at 0 K in meV per atom: 165

---

Record 6
First-principles (PBE-GGA) data for a relaxed Mn2CoRh crystal, as listed in Alexandria via LeMat-Bulk.

Cell: 3.655 3.655 7.464 Å, 90.00 90.00 90.00°
Space group I-4m2 (No. 119)
One atom of each set of equivalent atoms:
1 Mn 0.000 0.000 0.000 (multiplicity 2)
2 Mn 0.000 0.500 0.250 (multiplicity 2)
3 Co 0.000 0.000 0.500 (multiplicity 2)
4 Rh 0.000 0.500 0.750 (multiplicity 2)

Computed properties:
Distance to the lowest polymorph of the same formula in meV/atom: 0
Crystal system: tetragonal
Formation enthalpy at 0 K in meV per atom: -73

---

Record 7
First-principles (PBE-GGA) data for a relaxed Mn2CoRh crystal, as listed in Alexandria via LeMat-Bulk.

Cell: 5.879 5.879 5.879 Å, 90.00 90.00 90.00°
Space group F-43m (No. 216)
One atom of each set of equivalent atoms:
1 Mn 0.000 0.000 0.000 (multiplicity 4)
2 Mn 0.250 0.250 0.250 (multiplicity 4)
3 Co 0.250 0.250 0.750 (multiplicity 4)
4 Rh 0.000 0.000 0.500 (multiplicity 4)

Computed properties:
Distance to the lowest polymorph of the same formula in meV/atom: 236
Crystal system: cubic
Formation enthalpy at 0 K in meV per atom: 163

---

Record 8
First-principles (PBE-GGA) data for a relaxed Mn4Co3Rh crystal, as listed in Alexandria via LeMat-Bulk.

Cell: 4.102 4.102 11.660 Å, 90.00 90.00 90.00°
Space group I4/mmm (No. 139)
One atom of each set of equivalent atoms:
1 Mn 0.000 0.500 0.129 (multiplicity 8)
2 Co 0.000 0.000 0.000 (multiplicity 2)
3 Co 0.000 0.000 0.250 (multiplicity 4)
4 Rh 0.000 0.000 0.500 (multiplicity 2)

Computed properties:
Crystal system: tetragonal
Formation enthalpy at 0 K in meV per atom: -25

---

Record 9
First-principles (PBE-GGA) data for a relaxed Mn2Co2Rh crystal, as listed in Alexandria via LeMat-Bulk.

Cell: 6.627 6.627 2.686 Å, 90.00 90.00 90.00°
Space group P4/mbm (No. 127)
One atom of each set of equivalent atoms:
1 Mn 0.171 0.329 0.000 (multiplicity 4)
2 Co 0.126 0.626 0.500 (multiplicity 4)
3 Rh 0.000 0.000 0.500 (multiplicity 2)

Computed properties:
Distance to the lowest polymorph of the same formula in meV/atom: 0
Crystal system: tetragonal
Formation enthalpy at 0 K in meV per atom: 146

---

Record 10
First-principles (PBE-GGA) data for a relaxed Mn2CoRh2 crystal, as listed in Alexandria via LeMat-Bulk.

Cell: 7.042 7.042 2.623 Å, 90.00 90.00 90.00°
Space group P4/mbm (No. 127)
One atom of each set of equivalent atoms:
1 Mn 0.169 0.331 0.000 (multiplicity 4)
2 Co 0.000 0.000 0.500 (multiplicity 2)
3 Rh 0.130 0.630 0.500 (multiplicity 4)

Computed properties:
Distance to the lowest polymorph of the same formula in meV/atom: 114
Crystal system: tetragonal
Formation enthalpy at 0 K in meV per atom: 373

---

Record 11
First-principles (PBE-GGA) data for a relaxed Mn2CoRh crystal, as listed in Alexandria via LeMat-Bulk.

Cell: 2.755 2.755 6.396 Å, 90.00 90.00 90.00°
Space group P4mm (No. 99)
One atom of each set of equivalent atoms:
1 Mn 0.000 0.000 0.000 (multiplicity 1)
2 Mn 0.500 0.500 0.241 (multiplicity 1)
3 Co 0.500 0.500 0.777 (multiplicity 1)
4 Rh 0.000 0.000 0.499 (multiplicity 1)

Computed properties:
Distance to the lowest polymorph of the same formula in meV/atom: 177
Crystal system: tetragonal
Formation enthalpy at 0 K in meV per atom: 104

---

Record 12
First-principles (PBE-GGA) data for a relaxed MnCoRh2 crystal, as listed in Alexandria via LeMat-Bulk.

Cell: 8.771 2.708 4.501 Å, 90.00 102.29 90.00°
Space group Cm (No. 8)
One atom of each set of equivalent atoms:
1 Mn 0.000 0.000 0.000 (multiplicity 2)
2 Co 0.259 0.000 0.742 (multiplicity 2)
3 Rh 0.010 0.500 0.514 (multiplicity 2)
4 Rh 0.252 0.500 0.239 (multiplicity 2)

Computed properties:
Crystal system: monoclinic
Formation enthalpy at 0 K in meV per atom: 15